Run one
Compound: Pr2ZnSe
Source: Alexandria via LeMat-Bulk
Functional: PBE-GGA
Structure: optimized geometry

abc: 4.0771 4.0771 23.8451
angles: 90.00 90.00 120.00
Closest atoms and distances in Å follow each position.
Space group R3m (No. 160, hexagonal axes)
One atom of each set of equivalent atoms:
Pr: 0.0000 0.0000 0.0000  3 Se 3.08, 3 Zn 3.10
Pr: 0.0000 0.0000 0.1652  3 Se 3.05, 3 Zn 3.08
Zn: 0.0000 0.0000 0.5818  6 Pr 3.08-3.10
Se: 0.0000 0.0000 0.7503  6 Pr 3.05-3.08

N(E_F)	11.9	states/eV per cell



Run two
Compound: Pr2ZnSe
Source: Alexandria via LeMat-Bulk
Functional: PBE-GGA
Structure: optimized geometry

abc: 4.1872 4.1872 22.3569
angles: 90.00 90.00 120.00
Closest atoms and distances in Å follow each position.
Space group R-3m (No. 166, hexagonal axes)
One atom of each set of equivalent atoms:
Pr: 0.0000 0.0000 0.2459  3 Se 3.00, 3 Zn 3.11
Zn: 0.0000 0.0000 0.0000  6 Pr 3.11
Se: 0.0000 0.0000 0.5000  6 Pr 3.00

N(E_F)	6.0	states/eV per cell



Run three
Compound: Pr2ZnSe
Source: Alexandria via LeMat-Bulk
Functional: PBE-GGA
Structure: optimized geometry

abc: 3.7812 3.7812 7.1199
angles: 90.00 90.00 90.00
Closest atoms and distances in Å follow each position.
Space group P4/mmm (No. 123)
One atom of each set of equivalent atoms:
Pr: 0.0000 0.0000 0.2485  4 Se 3.21, 4 Zn 3.22, 2 Pr 3.54-3.58
Zn: 0.5000 0.5000 0.5000  8 Pr 3.22, 2 Se 3.56
Se: 0.5000 0.5000 0.0000  8 Pr 3.21, 2 Zn 3.56

N(E_F)	3.3	states/eV per cell



Run four
Compound: Pr2ZnSe
Source: Alexandria via LeMat-Bulk
Functional: PBE-GGA
Structure: optimized geometry

abc: 4.1452 24.1275 4.3920
angles: 90.00 90.00 90.00
Closest atoms and distances in Å follow each position.
Space group Cmcm (No. 63)
One atom of each set of equivalent atoms:
Pr: 0.0000 0.0690 0.2500  1 Se 2.97, 6 Zn 3.11-3.31
Pr: 0.0000 0.3157 0.2500  5 Se 2.98-3.03
Zn: 0.0000 0.4622 0.2500  2 Zn 2.85, 4 Pr 3.11
Se: 0.0000 0.1922 0.2500  6 Pr 2.97-3.03

N(E_F)	11.9	states/eV per cell



Which is more stable than every other structure shown? run four is more stable than every other one.